No. 1
Compound: ZnPH2
Source: Alexandria
Functional: GGA-PBE
Structure: optimized geometry

## Properties
Its space group is I4_1/amd, No. 141. The calculation puts the calculated volume at 12.7 Å³/atom. The value obtained for the density of states at the Fermi level is 0.4291 states/eV/atom. The value obtained for the energy above the most stable polymorph in this dataset is 408 meV per atom. Its total energy is -22.929 eV/cell. Its mass density is 3.2 g/cm3.

Structure (extended XYZ):
```
8
Lattice="-3.1798 3.1798 2.5169 3.1798 -3.1798 2.5169 3.1798 3.1798 -2.5169" Properties=species:S:1:pos:R:3 pbc="T T T"
Zn 3.1798 1.5899 0.6292
Zn 0.0000 1.5899 1.8877
P 3.1798 -1.5899 1.8877
P 0.0000 4.7697 0.6292
H 0.0000 0.0000 0.0000
H 1.5899 1.5899 -1.2584
H 1.5899 -1.5899 1.2584
H 0.0000 3.1798 0.0000
```

---

No. 2
Compound: VCuHg
Source: Alexandria
Functional: GGA-PBE
Structure: optimized geometry

## Properties
Its space group is Fmmm, No. 69. The calculation puts the calculated volume at 16.4 Å³/atom. The value obtained for the density of states at the Fermi level is 1.0446 states/eV/atom. The calculation puts the energy of formation at 0.422 eV per atom. Its total energy is -24.502 eV/cell. Its mass density is 10.6 g/cm3.

Structure (extended XYZ):
```
6
Lattice="0.0000 4.3067 4.8645 2.3463 0.0000 4.8645 2.3463 4.3067 0.0000" Properties=species:S:1:pos:R:3 pbc="T T T"
V 2.3463 1.7081 4.8645
V 2.3463 6.9053 4.8645
Cu 1.1731 2.1534 2.4323
Cu 3.5194 6.4601 7.2968
Hg 2.3463 4.3067 3.4787
Hg 2.3463 4.3067 6.2503
```